1.
Crystalline FeCl3 at its relaxed geometry. Source: Alexandria via LeMat-Bulk, functional PBE.

Values from the calculation:
Raw formation energy ... 0.470 eV/atom
Crystal system ... tetragonal
N(E_F) ... 5.37 states/eV/f.u.

Unit cell a=4.686 b=4.686 c=3.595 alpha=90.00 beta=90.00 gamma=90.00
Fractional coordinates of all 4 atoms:
Fe (0.000, 0.000, 0.000)
Cl (0.000, 0.500, 0.500)
Cl (0.500, 0.000, 0.500)
Cl (0.500, 0.500, 0.000)

---

2.
Crystalline YTiNi2 at its relaxed geometry. Source: Alexandria via LeMat-Bulk, functional PBE.

Values from the calculation:
Distance to the lowest polymorph of the same formula ... 2.08 eV per formula unit
Calculated formation energy ... 0.175 eV per atom
Crystal system ... tetragonal
N(E_F) ... 5.09 states/eV/f.u.

Unit cell a=8.355 b=8.355 c=8.355 alpha=147.86 beta=147.86 gamma=46.10
Fractional coordinates of all 8 atoms:
Y (0.000, 0.000, 0.000)
Y (0.750, 0.250, 0.500)
Ti (0.250, 0.750, 0.500)
Ti (0.500, 0.500, 0.000)
Ni (0.337, 0.625, 0.212)
Ni (0.375, 0.587, 0.712)
Ni (0.413, 0.125, 0.788)
Ni (0.875, 0.663, 0.288)

---

no.,magnetization (μB per formula unit),volume (Å³/f.u.)
1,4.9,79
2,0.0,82